{
  "formula": "CoOF",
  "functional": "PBE+U",
  "state": "relaxed",
  "energy_ev_per_cell": -96.09,
  "crystal_system": "monoclinic",
  "n_ef_per_ev_atom": 0.11,
  "space_group": "P2/m (10)",
  "cell": [[4.674, 0.000, 0.000], [0.000, 2.962, 0.000], [-0.621, 0.000, 13.946]],
  "species": ["Co", "Co", "Co", "Co", "Co", "Co", "O", "O", "O", "O", "O", "O", "F", "F", "F", "F", "F", "F"],
  "fractional_positions": [[0.000, 0.000, 0.000], [0.038, 0.000, 0.332], [0.407, 0.500, 0.834], [0.500, 0.500, 0.500], [0.593, 0.500, 0.166], [0.962, 0.000, 0.668], [0.139, 0.500, 0.733], [0.216, 0.500, 0.393], [0.256, 0.000, 0.905], [0.744, 0.000, 0.095], [0.784, 0.500, 0.607], [0.861, 0.500, 0.267], [0.232, 0.500, 0.070], [0.282, 0.000, 0.567], [0.362, 0.000, 0.228], [0.638, 0.000, 0.772], [0.718, 0.000, 0.433], [0.768, 0.500, 0.930]]
}